Entry 1:
Compound: LaGa11Rh
Source: Alexandria via LeMat-Bulk
Functional: PBE
Structure: relaxed

Values from the calculation:
- total magnetization (μB per atom) = 0.000
- DFT formation energy (eV per atom) = -0.266
- final energy (hartree per atom) = -0.1386

Unit cell a=5.243 b=12.340 c=7.896 alpha=90.00 beta=108.35 gamma=90.00
Space group C2/m (No. 12)
Inequivalent atoms, fractional coordinates:
La1 0.000 0.000 0.000 [2 per cell]
Ga1 0.000 0.000 0.500 [2 per cell]
Ga2 0.120 0.390 0.233 [8 per cell]
Ga3 0.201 0.175 0.365 [8 per cell]
Ga4 0.250 0.250 0.000 [4 per cell]
Rh1 0.000 0.500 0.500 [2 per cell]

***

Entry 2:
Compound: Ca2NiHg
Source: Alexandria via LeMat-Bulk
Functional: PBE
Structure: relaxed

Values from the calculation:
- total magnetization (μB per atom) = 0.000
- DFT formation energy (eV per atom) = -0.274
- final energy (hartree per atom) = -0.1027

Unit cell a=4.355 b=4.272 c=11.059 alpha=90.00 beta=90.00 gamma=90.00
Space group Amm2 (No. 38)
Inequivalent atoms, fractional coordinates:
Ca1 0.000 0.000 0.000 [2 per cell]
Ca2 0.500 0.000 0.288 [2 per cell]
Ni1 0.000 0.000 0.716 [2 per cell]
Hg1 0.500 0.000 0.580 [2 per cell]

***

Entry 3:
Compound: YCdRu2
Source: Alexandria via LeMat-Bulk
Functional: PBE
Structure: relaxed

Values from the calculation:
- total magnetization (μB per atom) = 0.000
- DFT formation energy (eV per atom) = 0.375
- final energy (hartree per atom) = -0.2244

Unit cell a=3.1466 b=3.1466 c=26.2761 alpha=90.00 beta=90.00 gamma=120.00
Space group R-3m (No. 166, hexagonal axes)
Inequivalent atoms, fractional coordinates:
Y1 0.0000 0.0000 0.0000 [3 per cell]
Cd1 0.0000 0.0000 0.5000 [3 per cell]
Ru1 0.0000 0.0000 0.2503 [6 per cell]